Entry from Alexandria via LeMat-Bulk: a relaxed SiSb2As crystal (PBE).

Summary:
space group	No. 44
theoretical density	6181	kg/m³
excess energy over the best structure of this formula in the dataset	153	meV/atom
DFT total energy	-4.263	eV per atom
total moment	0.00	μB/f.u.
ΔE_f (raw)	0.316	eV per atom
crystal system	orthorhombic

CIF file:
```
data_SiSb2As
_chemical_formula_sum 'Si1 Sb2 As1'
_symmetry_space_group_name_H-M 'P 1'
_symmetry_Int_Tables_number 1
_symmetry_space_group_name_Hall 'P 1'
_cell_length_a 6.1988
_cell_length_b 6.1988
_cell_length_c 6.1988
_cell_angle_alpha 147.23
_cell_angle_beta 133.29
_cell_angle_gamma 58.23
loop_
_atom_site_label
_atom_site_fract_x
_atom_site_fract_y
_atom_site_fract_z
_atom_site_occupancy
Si1 0.0000 0.0000 0.0000 1
Sb1 0.4765 0.4765 0.0000 1
Sb2 0.7852 0.2852 0.5000 1
As1 0.1637 0.6637 0.5000 1
```


Entry from Alexandria via LeMat-Bulk: a relaxed Y3PtO6 crystal (PBE).

Summary:
space group	No. 36
theoretical density	6656	kg/m³
DFT total energy	-8.170	eV per atom
total moment	1.02	μB/f.u.
ΔE_f (raw)	-2.652	eV per atom
crystal system	orthorhombic

CIF file:
```
data_Y3PtO6
_chemical_formula_sum 'Y6 Pt2 O12'
_symmetry_space_group_name_H-M 'P 1'
_symmetry_Int_Tables_number 1
_symmetry_space_group_name_Hall 'P 1'
_cell_length_a 7.1539
_cell_length_b 7.1539
_cell_length_c 5.5471
_cell_angle_alpha 90.00
_cell_angle_beta 90.00
_cell_angle_gamma 101.37
loop_
_atom_site_label
_atom_site_fract_x
_atom_site_fract_y
_atom_site_fract_z
_atom_site_occupancy
Y1 0.1029 0.8971 0.5000 1
Y2 0.1690 0.4067 0.5512 1
Y3 0.4067 0.1690 0.0512 1
Y4 0.5933 0.8310 0.5512 1
Y5 0.8310 0.5933 0.0512 1
Y6 0.8971 0.1029 0.0000 1
Pt1 0.3689 0.6311 0.0557 1
Pt2 0.6311 0.3689 0.5557 1
O1 0.1002 0.6092 0.2589 1
O2 0.1423 0.1733 0.2776 1
O3 0.1733 0.1423 0.7776 1
O4 0.2820 0.7180 0.7370 1
O5 0.3908 0.8998 0.2589 1
O6 0.4721 0.5279 0.3738 1
O7 0.5279 0.4721 0.8738 1
O8 0.6092 0.1002 0.7589 1
O9 0.7180 0.2820 0.2370 1
O10 0.8267 0.8577 0.2776 1
O11 0.8577 0.8267 0.7776 1
O12 0.8998 0.3908 0.7589 1
```